Entry 1:
## Li2Y3ErSe6 (PBE)

Data for Li2Y3ErSe6 after structural relaxation.

Structure (POSCAR):
```
Li2Y3ErSe6
1.0
3.491 -6.045 0.000
3.491 6.045 0.000
-2.327 0.000 6.598
Li Y Er Se
2 3 1 6
Cartesian
3.491 4.024 0.000
3.491 -4.024 0.000
-1.163 0.000 3.299
2.328 2.014 3.299
2.328 -2.014 3.299
3.491 0.000 0.000
-0.014 2.039 5.014
1.136 0.000 1.590
-0.014 -2.039 5.014
4.669 2.039 1.584
3.519 0.000 5.007
4.669 -2.039 1.584
```

Calculated values
ΔE_f (raw): -1.74 eV/atom

***

Entry 2:
## AcLaGe (PBE)

Data for AcLaGe after structural relaxation.

Structure (POSCAR):
```
AcLaGe
1.0
8.417 0.000 0.000
0.000 4.713 0.000
-0.088 0.000 14.471
Ac La Ge
6 6 6
Cartesian
0.205 1.178 4.200
2.843 3.535 13.271
3.903 3.535 8.927
4.426 1.178 5.544
5.486 1.178 1.200
8.123 3.535 10.271
0.012 3.535 1.371
1.140 1.178 7.933
3.090 3.535 3.018
5.239 1.178 11.452
7.189 3.535 6.538
8.316 1.178 13.100
2.039 3.535 6.018
2.148 1.178 1.105
2.163 1.178 10.873
6.166 3.535 3.598
6.181 3.535 13.365
6.290 1.178 8.453
```

Calculated values
energy of formation from the pure elements: -0.56 eV per atom
energy above the most stable polymorph in this dataset: 0.000 eV per atom

***

Entry 3:
## TaReIr (PBE)

Data for TaReIr after structural relaxation.

Structure (POSCAR):
```
TaReIr
1.0
2.279 -3.851 0.000
2.279 3.851 0.000
0.000 0.000 5.451
Ta Re Ir
2 2 2
Cartesian
2.279 2.472 4.088
2.279 -2.472 1.363
2.279 0.000 0.000
2.279 0.000 2.725
2.279 2.607 1.363
2.279 -2.607 4.088
```

Calculated values
energy of formation from the pure elements: -0.25 eV per atom
energy above the most stable polymorph in this dataset: 0.033 eV per atom

***

no.,calculated total energy (eV/atom),ρ (g/cm³)
1,-5.79,5.5
2,-5.12,7.6
3,-11.30,19.4